Record 1
{"formula": "AlCd2Br", "functional": "PBE", "state": "optimized geometry", "polymorph_energy_mev_per_atom": 53, "cell": [[3.482, 0.000, 0.000], [0.000, 3.482, 0.000], [0.000, 0.000, 7.869]], "species": ["Al", "Cd", "Cd", "Br"], "fractional_positions": [[0.000, 0.000, 0.000], [0.500, 0.500, 0.226], [0.500, 0.500, 0.774], [0.000, 0.000, 0.500]]}

---

Record 2
{"formula": "AlCd2Br", "functional": "PBE", "state": "optimized geometry", "polymorph_energy_mev_per_atom": 141, "cell": [[4.250, 0.000, 0.000], [0.000, 4.250, 0.000], [0.000, 0.000, 6.017]], "species": ["Al", "Cd", "Cd", "Br"], "fractional_positions": [[0.000, 0.000, 0.000], [0.000, 0.500, 0.500], [0.500, 0.000, 0.500], [0.500, 0.500, 0.000]]}

---

Record 3
{"formula": "Al2CdBr2", "functional": "PBE", "state": "optimized geometry", "polymorph_energy_mev_per_atom": 176, "cell": [[5.092, 0.000, 0.000], [0.000, 5.092, 0.000], [0.000, 0.000, 12.687]], "species": ["Al", "Al", "Al", "Al", "Cd", "Cd", "Br", "Br", "Br", "Br"], "fractional_positions": [[0.000, 0.000, 0.134], [0.000, 0.000, 0.866], [0.500, 0.500, 0.366], [0.500, 0.500, 0.634], [0.000, 0.000, 0.500], [0.500, 0.500, 0.000], [0.000, 0.500, 0.250], [0.000, 0.500, 0.750], [0.500, 0.000, 0.250], [0.500, 0.000, 0.750]]}

---

Record 4
{"formula": "Al2CdBr2", "functional": "PBE", "state": "optimized geometry", "polymorph_energy_mev_per_atom": 0, "cell": [[7.238, 0.000, 0.000], [0.000, 7.238, 0.000], [0.000, 0.000, 5.084]], "species": ["Al", "Al", "Al", "Al", "Cd", "Cd", "Br", "Br", "Br", "Br"], "fractional_positions": [[0.130, 0.370, 0.000], [0.370, 0.870, 0.000], [0.630, 0.130, 0.000], [0.870, 0.630, 0.000], [0.000, 0.000, 0.000], [0.500, 0.500, 0.000], [0.188, 0.312, 0.500], [0.312, 0.812, 0.500], [0.688, 0.188, 0.500], [0.812, 0.688, 0.500]]}

---

Record 5
{"formula": "AlCd2Br", "functional": "PBE", "state": "optimized geometry", "polymorph_energy_mev_per_atom": 213, "cell": [[7.521, 0.000, 0.000], [0.000, 7.521, 0.000], [0.000, 0.000, 7.521]], "species": ["Al", "Al", "Al", "Al", "Cd", "Cd", "Cd", "Cd", "Cd", "Cd", "Cd", "Cd", "Br", "Br", "Br", "Br"], "fractional_positions": [[0.000, 0.000, 0.000], [0.000, 0.500, 0.500], [0.500, 0.000, 0.500], [0.500, 0.500, 0.000], [0.000, 0.000, 0.500], [0.000, 0.500, 0.000], [0.250, 0.250, 0.250], [0.250, 0.750, 0.750], [0.500, 0.000, 0.000], [0.500, 0.500, 0.500], [0.750, 0.250, 0.750], [0.750, 0.750, 0.250], [0.250, 0.250, 0.750], [0.250, 0.750, 0.250], [0.750, 0.250, 0.250], [0.750, 0.750, 0.750]]}

---

Record 6
{"formula": "AlCd2Br", "functional": "PBE", "state": "optimized geometry", "polymorph_energy_mev_per_atom": 83, "cell": [[3.490, 0.000, 0.000], [0.000, 3.490, 0.000], [0.000, 0.000, 7.934]], "species": ["Al", "Cd", "Cd", "Br"], "fractional_positions": [[0.000, 0.000, 0.000], [0.000, 0.000, 0.537], [0.500, 0.500, 0.780], [0.500, 0.500, 0.232]]}

---

Record 7
{"formula": "AlCd2Br", "functional": "PBE", "state": "optimized geometry", "polymorph_energy_mev_per_atom": 0, "cell": [[3.774, 0.000, 0.000], [-1.887, 3.268, 0.000], [0.000, 0.000, 24.036]], "species": ["Al", "Al", "Al", "Cd", "Cd", "Cd", "Cd", "Cd", "Cd", "Br", "Br", "Br"], "fractional_positions": [[0.000, 0.000, 0.000], [0.333, 0.667, 0.667], [0.667, 0.333, 0.333], [0.000, 0.000, 0.257], [0.000, 0.000, 0.743], [0.333, 0.667, 0.410], [0.333, 0.667, 0.924], [0.667, 0.333, 0.076], [0.667, 0.333, 0.590], [0.000, 0.000, 0.500], [0.333, 0.667, 0.167], [0.667, 0.333, 0.833]]}

---

Record 8
{"formula": "Al3CdBr", "functional": "PBE", "state": "optimized geometry", "polymorph_energy_mev_per_atom": 0, "cell": [[5.227, 0.000, 0.000], [0.000, 5.227, 0.000], [0.000, 0.000, 5.227]], "species": ["Al", "Al", "Al", "Cd", "Br"], "fractional_positions": [[0.000, 0.000, 0.500], [0.000, 0.500, 0.000], [0.500, 0.000, 0.000], [0.000, 0.000, 0.000], [0.500, 0.500, 0.500]]}

---

Record 9
{"formula": "Al4CdBr", "functional": "PBE", "state": "optimized geometry", "e_tot_ry_per_atom": -0.200, "cell": [[0.000, 3.990, 3.990], [3.990, 0.000, 3.990], [3.990, 3.990, 0.000]], "species": ["Al", "Al", "Al", "Al", "Cd", "Br"], "fractional_positions": [[0.376, 0.376, 0.376], [0.376, 0.376, 0.873], [0.376, 0.873, 0.376], [0.873, 0.376, 0.376], [0.750, 0.750, 0.750], [0.000, 0.000, 0.000]]}

---

Record 10
{"formula": "AlCdBr", "functional": "PBE", "state": "optimized geometry", "polymorph_energy_mev_per_atom": 89, "cell": [[7.197, 0.000, 0.000], [0.000, 7.197, 0.000], [0.000, 0.000, 7.197]], "species": ["Al", "Al", "Al", "Al", "Cd", "Cd", "Cd", "Cd", "Br", "Br", "Br", "Br"], "fractional_positions": [[0.000, 0.000, 0.000], [0.000, 0.500, 0.500], [0.500, 0.000, 0.500], [0.500, 0.500, 0.000], [0.250, 0.250, 0.250], [0.250, 0.750, 0.750], [0.750, 0.250, 0.750], [0.750, 0.750, 0.250], [0.250, 0.250, 0.750], [0.250, 0.750, 0.250], [0.750, 0.250, 0.250], [0.750, 0.750, 0.750]]}

---

Record 11
{"formula": "AlCd2Br", "functional": "PBE", "state": "optimized geometry", "polymorph_energy_mev_per_atom": 120, "cell": [[6.924, 0.000, 0.000], [0.000, 6.924, 0.000], [0.000, 0.000, 11.470]], "species": ["Al", "Al", "Al", "Al", "Cd", "Cd", "Cd", "Cd", "Cd", "Cd", "Cd", "Cd", "Br", "Br", "Br", "Br"], "fractional_positions": [[0.000, 0.000, 0.000], [0.000, 0.500, 0.250], [0.500, 0.000, 0.750], [0.500, 0.500, 0.500], [0.220, 0.250, 0.125], [0.250, 0.720, 0.375], [0.250, 0.780, 0.875], [0.280, 0.250, 0.625], [0.720, 0.750, 0.625], [0.750, 0.220, 0.875], [0.750, 0.280, 0.375], [0.780, 0.750, 0.125], [0.000, 0.000, 0.500], [0.000, 0.500, 0.750], [0.500, 0.000, 0.250], [0.500, 0.500, 0.000]]}

---

Record 12
{"formula": "AlCd2Br", "functional": "PBE", "state": "optimized geometry", "polymorph_energy_mev_per_atom": 88, "cell": [[5.977, 0.000, 0.000], [0.000, 11.574, 0.000], [-2.039, 0.000, 2.931]], "species": ["Al", "Al", "Cd", "Cd", "Cd", "Cd", "Br", "Br"], "fractional_positions": [[0.000, 0.000, 0.000], [0.500, 0.500, 0.000], [0.250, 0.250, 0.500], [0.250, 0.750, 0.500], [0.750, 0.250, 0.500], [0.750, 0.750, 0.500], [0.000, 0.500, 0.000], [0.500, 0.000, 0.000]]}

---

no.,D(E_F) (states/eV/atom)
1,0.3559
2,0.1680
3,0.0000
4,0.5060
5,0.2787
6,0.2992
7,0.2617
8,0.5105
9,0.6321
10,0.0952
11,0.0261
12,0.0943